Record 1
{"formula": "CsTiP2O", "functional": "PBE-GGA", "state": "optimized geometry", "lattice": [[-3.2626, -2.3057, 3.9219], [-1.8444, -1.8664, -2.6316], [3.6024, -4.2568, 0.4943]], "species": ["Ti", "P", "O", "Cs", "P"], "fractional_positions": [[0.0000, 0.5000, 0.0000], [0.0000, 0.0000, 0.5000], [0.0000, 0.0000, 0.0000], [0.5000, 0.5000, 0.5000], [0.5000, 0.0000, 0.0000]], "n_ef_per_ev_cell": 6.0, "sg": "P4/mmm, No. 123", "relative_energy_ev_per_atom": 0.0000, "total_energy_ha_per_atom": -0.175}

***

Record 2
{"formula": "CsTiPO2", "functional": "PBE-GGA", "state": "optimized geometry", "lattice": [[-0.1137, -4.1175, -0.0697], [4.0508, -0.1244, 0.7402], [-1.2635, -0.0819, 6.9007]], "species": ["P", "O", "Ti", "Cs", "O"], "fractional_positions": [[0.0000, 0.0000, 0.5000], [0.0000, 0.5000, 0.0000], [0.5000, 0.5000, 0.5000], [0.0000, 0.0000, 0.0000], [0.5000, 0.0000, 0.0000]], "n_ef_per_ev_cell": 3.2, "sg": "P4/mmm, No. 123", "relative_energy_ev_per_atom": 1.9626, "total_energy_ha_per_atom": -0.147}

***

Record 3
{"formula": "CsTiP2O", "functional": "PBE-GGA", "state": "optimized geometry", "lattice": [[5.3355, 0.0000, 0.0000], [0.0000, 5.3355, 0.0000], [0.0000, 0.0000, 4.1599]], "species": ["O", "Ti", "P", "Cs", "P"], "fractional_positions": [[0.0000, 0.0000, 0.5000], [0.5000, 0.5000, 0.5000], [0.5000, 0.0000, 0.0000], [0.0000, 0.0000, 0.0000], [0.0000, 0.5000, 0.0000]], "n_ef_per_ev_cell": 6.8, "sg": "P4/mmm, No. 123", "relative_energy_ev_per_atom": 1.3411, "total_energy_ha_per_atom": -0.126}

***

Record 4
{"formula": "CsTiPO2", "functional": "PBE-GGA", "state": "optimized geometry", "lattice": [[-2.5172, 1.7737, 2.6253], [1.6299, -2.1504, 3.0157], [3.4602, 3.7358, 0.7937]], "species": ["O", "O", "Ti", "P", "Cs"], "fractional_positions": [[0.0000, 0.5000, 0.0000], [0.5000, 0.0000, 0.0000], [0.0000, 0.0000, 0.0000], [0.0000, 0.0000, 0.5000], [0.5000, 0.5000, 0.5000]], "n_ef_per_ev_cell": 2.2, "sg": "P4/mmm, No. 123", "relative_energy_ev_per_atom": 0.0000, "total_energy_ha_per_atom": -0.219}

***

Record 5
{"formula": "Cs2TiP2O8", "functional": "PBE-GGA", "state": "optimized geometry", "lattice": [[-4.1661, 5.9281, 1.4801], [-2.0156, 0.9391, -9.4346], [-11.0463, -8.1497, 1.5488]], "species": ["O", "O", "Ti", "O", "O", "O", "Cs", "O", "O", "O", "O", "O", "Cs", "P", "O", "O", "Cs", "O", "P", "Cs", "O", "P", "O", "Cs", "Cs", "O", "O", "O", "O", "O", "O", "O", "O", "Ti", "P", "O", "O", "O", "O", "O", "Ti", "Cs", "P", "O", "P", "P", "Ti", "Cs", "O", "O", "O", "P"], "fractional_positions": [[0.4365, 0.3231, 0.2805], [0.7500, 0.4635, 0.6024], [0.7500, 0.5286, 0.7143], [0.5101, 0.7969, 0.5548], [0.2500, 0.7063, 0.6620], [0.4899, 0.2031, 0.4452], [0.7500, 0.0930, 0.6002], [0.4899, 0.2969, 0.9452], [0.0662, 0.9160, 0.7141], [0.2500, 0.9635, 0.8976], [0.7500, 0.2063, 0.8380], [0.0635, 0.3231, 0.2805], [0.2500, 0.3769, 0.5834], [0.4508, 0.7216, 0.1577], [0.9899, 0.7031, 0.0548], [0.4365, 0.1769, 0.7805], [0.2500, 0.1231, 0.0834], [0.9899, 0.7969, 0.5548], [0.9508, 0.2216, 0.3423], [0.7500, 0.6231, 0.4166], [0.0101, 0.2031, 0.4452], [0.5492, 0.2216, 0.3423], [0.0635, 0.1769, 0.7805], [0.2500, 0.9070, 0.3998], [0.2500, 0.5930, 0.8998], [0.2500, 0.5365, 0.3976], [0.7500, 0.2937, 0.3380], [0.7500, 0.0365, 0.1024], [0.9365, 0.6769, 0.7195], [0.0662, 0.5840, 0.2141], [0.9338, 0.4160, 0.7859], [0.5635, 0.8231, 0.2195], [0.0101, 0.2969, 0.9452], [0.2500, 0.0286, 0.7857], [0.0492, 0.7216, 0.1577], [0.5635, 0.6769, 0.7195], [0.5662, 0.0840, 0.2859], [0.2500, 0.7937, 0.1620], [0.9365, 0.8231, 0.2195], [0.4338, 0.5840, 0.2141], [0.2500, 0.4714, 0.2857], [0.7500, 0.4070, 0.1002], [0.4508, 0.7784, 0.6577], [0.9338, 0.0840, 0.2859], [0.5492, 0.2784, 0.8423], [0.9508, 0.2784, 0.8423], [0.7500, 0.9714, 0.2143], [0.7500, 0.8769, 0.9166], [0.5662, 0.4160, 0.7859], [0.5101, 0.7031, 0.0548], [0.4338, 0.9160, 0.7141], [0.0492, 0.7784, 0.6577]], "n_ef_per_ev_cell": 0.0, "sg": "Pnma, No. 62", "total_energy_ha_per_atom": -0.261}

***

Record 6
{"formula": "Cs2TiP4O13", "functional": "PBE-GGA", "state": "optimized geometry", "lattice": [[5.2434, 0.0194, 0.0122], [1.3767, 8.0723, -0.0362], [1.7450, 1.2909, 15.9240]], "species": ["O", "Cs", "O", "O", "O", "Cs", "P", "Ti", "P", "P", "O", "O", "O", "O", "O", "Cs", "O", "O", "O", "P", "O", "O", "O", "O", "O", "O", "P", "Cs", "Ti", "P", "O", "O", "P", "O", "O", "O", "O", "O", "P", "O"], "fractional_positions": [[0.0707, 0.7531, 0.2401], [0.3121, 0.2620, 0.0100], [0.1683, 0.1387, 0.3418], [0.2541, 0.0263, 0.8251], [0.9293, 0.2469, 0.7599], [0.6879, 0.7380, 0.9900], [0.1212, 0.7803, 0.6499], [0.4557, 0.0577, 0.2589], [0.9628, 0.0994, 0.8373], [0.6665, 0.4043, 0.1964], [0.2014, 0.6979, 0.5699], [0.1465, 0.6406, 0.7299], [0.8096, 0.4179, 0.1118], [0.2044, 0.0291, 0.1837], [0.7986, 0.3021, 0.4301], [0.2731, 0.3019, 0.5272], [0.1254, 0.8306, 0.0800], [0.4658, 0.2854, 0.2091], [0.7422, 0.4331, 0.6379], [0.3218, 0.6789, 0.2880], [0.7956, 0.9709, 0.8163], [0.5502, 0.1732, 0.6948], [0.8535, 0.3594, 0.2701], [0.2932, 0.9096, 0.6658], [0.1904, 0.5821, 0.8882], [0.5342, 0.7146, 0.7909], [0.6782, 0.3211, 0.7120], [0.7269, 0.6981, 0.4728], [0.5443, 0.9423, 0.7411], [0.8788, 0.2197, 0.3501], [0.5155, 0.5880, 0.2147], [0.7459, 0.9737, 0.1749], [0.0372, 0.9006, 0.1627], [0.4845, 0.4120, 0.7853], [0.2578, 0.5669, 0.3621], [0.8317, 0.8613, 0.6582], [0.4498, 0.8268, 0.3052], [0.8746, 0.1694, 0.9200], [0.3335, 0.5957, 0.8036], [0.7068, 0.0904, 0.3342]], "n_ef_per_ev_cell": 0.0, "sg": "P-1, No. 2", "total_energy_ha_per_atom": -0.263}

***

- What is the formula in the sixth record?
  Cs2TiP4O13